First-principles (PBE-GGA) data for crystalline Rb3La2PaTe6 at its relaxed geometry, as listed in Alexandria via LeMat-Bulk.

It has space group C2/m (No. 12), with a = 8.0839 Å, b = 14.0012 Å, c = 9.0000 Å, α = 90.00°, β = 107.43° and γ = 90.00°. The distinct sites, in fractional coordinates, are Rb at (0.0000, 0.0000, 0.0000), Rb at (0.0000, 0.3307, 0.0000), La at (0.0000, 0.1662, 0.5000), Pa at (0.0000, 0.5000, 0.5000), Te at (0.2302, 0.3383, 0.7060) and Te at (0.2461, 0.0000, 0.7069).

The calculation puts the calculated volume at 971.9 Å³/cell. The value obtained for the density of states at the Fermi level is 0.749 states/eV per atom. Its uncorrected formation energy is -1278.1 meV/atom.